Material: VPd2Ru
Method: DFT, GGA-PBE
State: relaxed

a = 4.3958 Å, b = 4.3958 Å, c = 4.3958 Å
α = 60.00°, β = 60.00°, γ = 60.00°
Fractional positions:
V 0.0000 0.0000 0.0000
Pd 0.2500 0.2500 0.2500
Pd 0.7500 0.7500 0.7500
Ru 0.5000 0.5000 0.5000

energy above the lowest structure with this stoichiometry = 0.352 eV/atom
formation energy from the elements = 87 kJ/mol of formula units
size of the total moment = 0.92 μB per cell


Material: V2Pd6Ru
Method: DFT, GGA-PBE
State: relaxed

a = 6.2234 Å, b = 6.2234 Å, c = 6.1835 Å
α = 107.41°, β = 107.41°, γ = 35.49°
Fractional positions:
V 0.0549 0.0549 0.3112
V 0.9451 0.9451 0.6888
Pd 0.1623 0.1623 0.0000
Pd 0.2835 0.2835 0.6641
Pd 0.3962 0.3962 0.3399
Pd 0.6038 0.6038 0.6601
Pd 0.7165 0.7165 0.3359
Pd 0.8377 0.8377 0.0000
Ru 0.5000 0.5000 0.0000

formation energy from the elements = -155 kJ/mol of formula units
size of the total moment = 0.00 μB per cell


Material: VPdRu
Method: DFT, GGA-PBE
State: relaxed

a = 6.6854 Å, b = 6.6854 Å, c = 4.4544 Å
α = 90.00°, β = 90.00°, γ = 154.58°
Fractional positions:
V 0.0853 0.9147 0.5000
V 0.9147 0.0853 0.0000
Pd 0.2520 0.7480 0.1498
Pd 0.7480 0.2520 0.6498
Ru 0.4303 0.5697 0.5066
Ru 0.5697 0.4303 0.0066

energy above the lowest structure with this stoichiometry = 0.000 eV/atom
formation energy from the elements = -55 kJ/mol of formula units
size of the total moment = 0.00 μB per cell


Material: V4PdRu2
Method: DFT, GGA-PBE
State: relaxed

a = 6.9192 Å, b = 6.9192 Å, c = 6.9192 Å
α = 141.67°, β = 141.67°, γ = 55.32°
Fractional positions:
V 0.0000 0.5000 0.5000
V 0.2039 0.2039 0.0000
V 0.5000 0.0000 0.5000
V 0.7961 0.7961 0.0000
Pd 0.0000 0.0000 0.0000
Ru 0.3868 0.3868 0.0000
Ru 0.6132 0.6132 0.0000

formation energy from the elements = 676 kJ/mol of formula units
size of the total moment = 3.96 μB per cell


Material: V2Pd4Ru
Method: DFT, GGA-PBE
State: relaxed

a = 5.4885 Å, b = 5.4885 Å, c = 9.7544 Å
α = 113.99°, β = 113.99°, γ = 58.51°
Fractional positions:
V 0.0000 0.0000 0.0000
V 0.0000 0.0000 0.5000
V 0.2689 0.2689 0.5054
V 0.7311 0.7311 0.4946
Pd 0.2207 0.7301 0.7325
Pd 0.2457 0.2457 0.7632
Pd 0.2699 0.7793 0.2675
Pd 0.2778 0.2778 0.2596
Pd 0.7222 0.7222 0.7404
Pd 0.7301 0.2207 0.7325
Pd 0.7543 0.7543 0.2368
Pd 0.7793 0.2699 0.2675
Ru 0.0000 0.5000 0.0000
Ru 0.5000 0.0000 0.0000

formation energy from the elements = 115 kJ/mol of formula units
size of the total moment = 0.37 μB per cell


Material: VPdRu
Method: DFT, GGA-PBE
State: relaxed

a = 6.8284 Å, b = 6.8284 Å, c = 4.4777 Å
α = 100.39°, β = 100.39°, γ = 24.66°
Fractional positions:
V 0.0846 0.0846 0.3079
V 0.9154 0.9154 0.6921
Pd 0.2514 0.2514 0.7496
Pd 0.7486 0.7486 0.2504
Ru 0.4310 0.4310 0.2069
Ru 0.5690 0.5690 0.7931

energy above the lowest structure with this stoichiometry = 0.006 eV/atom
formation energy from the elements = -53 kJ/mol of formula units
size of the total moment = 0.00 μB per cell


Material: VPd2Ru
Method: DFT, GGA-PBE
State: relaxed

a = 9.5589 Å, b = 9.5589 Å, c = 9.5589 Å
α = 157.84°, β = 157.84°, γ = 31.54°
Fractional positions:
V 0.0000 0.0000 0.0000
V 0.7500 0.2500 0.5000
Pd 0.1243 0.6250 0.9993
Pd 0.3750 0.3743 0.4993
Pd 0.6257 0.1250 0.0007
Pd 0.8750 0.8757 0.5007
Ru 0.2500 0.7500 0.5000
Ru 0.5000 0.5000 0.0000

energy above the lowest structure with this stoichiometry = 0.394 eV/atom
formation energy from the elements = 104 kJ/mol of formula units
size of the total moment = 0.60 μB per cell


Material: VPdRu
Method: DFT, GGA-PBE
State: relaxed

a = 5.7600 Å, b = 5.7600 Å, c = 5.7600 Å
α = 151.45°, β = 151.45°, γ = 40.81°
Fractional positions:
V 0.0000 0.0000 0.0000
Pd 0.3285 0.3285 0.0000
Ru 0.6351 0.6351 0.0000

energy above the lowest structure with this stoichiometry = 0.079 eV/atom
formation energy from the elements = -32 kJ/mol of formula units
size of the total moment = 0.00 μB per cell


Material: VPdRu
Method: DFT, GGA-PBE
State: relaxed

a = 4.5008 Å, b = 2.9211 Å, c = 6.5776 Å
α = 90.00°, β = 97.94°, γ = 90.00°
Fractional positions:
V 0.2245 0.0000 0.3336
V 0.7755 0.0000 0.6664
Pd 0.0000 0.5000 0.0000
Pd 0.5000 0.0000 0.0000
Ru 0.2758 0.5000 0.6407
Ru 0.7242 0.5000 0.3593

energy above the lowest structure with this stoichiometry = 0.011 eV/atom
formation energy from the elements = -51 kJ/mol of formula units
size of the total moment = 0.00 μB per cell


Material: V2PdRu2
Method: DFT, GGA-PBE
State: relaxed

a = 7.1318 Å, b = 7.1318 Å, c = 2.8447 Å
α = 90.00°, β = 90.00°, γ = 90.00°
Fractional positions:
V 0.1474 0.3526 0.0000
V 0.3526 0.8526 0.0000
V 0.6474 0.1474 0.0000
V 0.8526 0.6474 0.0000
Pd 0.0000 0.0000 0.0000
Pd 0.5000 0.5000 0.0000
Ru 0.1496 0.6496 0.5000
Ru 0.3504 0.1496 0.5000
Ru 0.6496 0.8504 0.5000
Ru 0.8504 0.3504 0.5000

energy above the lowest structure with this stoichiometry = 0.020 eV/atom
formation energy from the elements = -41 kJ/mol of formula units
size of the total moment = 0.00 μB per cell


Material: VPdRu
Method: DFT, GGA-PBE
State: relaxed

a = 5.0804 Å, b = 5.0804 Å, c = 6.5724 Å
α = 105.69°, β = 105.69°, γ = 31.68°
Fractional positions:
V 0.1816 0.1816 0.1436
V 0.8184 0.8184 0.8564
Pd 0.1415 0.1415 0.5408
Pd 0.8585 0.8585 0.4592
Ru 0.4623 0.4623 0.1780
Ru 0.5377 0.5377 0.8220

energy above the lowest structure with this stoichiometry = 0.051 eV/atom
formation energy from the elements = -40 kJ/mol of formula units
size of the total moment = 0.00 μB per cell


Material: V2PdRu2
Method: DFT, GGA-PBE
State: relaxed

a = 7.1267 Å, b = 7.1267 Å, c = 2.8557 Å
α = 90.00°, β = 90.00°, γ = 90.00°
Fractional positions:
V 0.1589 0.3411 0.0000
V 0.3411 0.8411 0.0000
V 0.6589 0.1589 0.0000
V 0.8411 0.6589 0.0000
Pd 0.0000 0.0000 0.5000
Pd 0.5000 0.5000 0.5000
Ru 0.1383 0.6383 0.5000
Ru 0.3617 0.1383 0.5000
Ru 0.6383 0.8617 0.5000
Ru 0.8617 0.3617 0.5000

energy above the lowest structure with this stoichiometry = 0.000 eV/atom
formation energy from the elements = -50 kJ/mol of formula units
size of the total moment = 0.00 μB per cell